(1)
VASP calculation (PBEsol) on a relaxed ReBi3B crystal.

a b c (Å): 4.8430 4.8430 4.8430
angles (deg): 90.00 90.00 90.00
With the nearest neighbours (Å) after each atom.
Element x y z (fractional)
Re 0.5000 0.5000 0.5000  12 Bi 3.42
B 0.0000 0.0000 0.0000  6 Bi 2.42
Bi 0.0000 0.5000 0.0000  2 B 2.42
Bi 0.0000 0.0000 0.5000  2 B 2.42
Bi 0.5000 0.0000 0.0000  2 B 2.42

The value obtained for the density of states at the Fermi level is 4.1 states/eV/f.u. As for the crystal system: cubic. The magnetization comes out at 2.3 μB per formula unit. The value obtained for the total DFT energy (no corrections) is -25.46 eV per formula unit. As for the formation energy from the elements: 1.549 eV/atom.


(2)
VASP calculation (PBEsol) on a relaxed BiBRh3 crystal.

a b c (Å): 4.1722 4.1722 4.1722
angles (deg): 90.00 90.00 90.00
With the nearest neighbours (Å) after each atom.
Element x y z (fractional)
B 0.0000 0.0000 0.0000  6 Rh 2.09
Rh 0.0000 0.5000 0.0000  2 B 2.09
Rh 0.0000 0.0000 0.5000  2 B 2.09
Rh 0.5000 0.0000 0.0000  2 B 2.09
Bi 0.5000 0.5000 0.5000  12 Rh 2.95

The value obtained for the density of states at the Fermi level is 6.7 states/eV/f.u. As for the crystal system: cubic. The magnetization comes out at 0.0 μB per formula unit. The value obtained for the total DFT energy (no corrections) is -36.16 eV per formula unit. As for the formation energy from the elements: -0.089 eV/atom.